#i
This record from the Alexandria database describes a geometry-optimized Tb5Er4Tm3 structure. The functional is PBE.

Structure (CIF):
```
data_Tb5Er4Tm3
_symmetry_space_group_name_H-M 'P -1'
_symmetry_Int_Tables_number 2
_cell_length_a 6.089
_cell_length_b 7.036
_cell_length_c 8.605
_cell_angle_alpha 89.96
_cell_angle_beta 89.88
_cell_angle_gamma 89.91
loop_
_symmetry_equiv_pos_as_xyz
'x,y,z'
'-x,-y,-z'
loop_
_atom_site_label
_atom_site_type_symbol
_atom_site_fract_x
_atom_site_fract_y
_atom_site_fract_z
Tb1 Tb 0.000 0.000 0.000
Tb2 Tb 0.332 0.500 0.666
Tb3 Tb 0.500 0.250 0.000
Er1 Er 0.166 0.250 0.334
Er2 Er 0.334 0.000 0.666
Tm1 Tm 0.000 0.500 0.000
Tm2 Tm 0.167 0.750 0.334
```

---

#ii
This record from the Alexandria database describes a geometry-optimized Tb5Er4Tm3 structure. The functional is PBE.

Structure (CIF):
```
data_Tb5Er4Tm3
_symmetry_space_group_name_H-M 'C 1 2/m 1'
_symmetry_Int_Tables_number 12
_cell_length_a 16.007
_cell_length_b 5.798
_cell_length_c 9.173
_cell_angle_alpha 90.00
_cell_angle_beta 116.93
_cell_angle_gamma 90.00
loop_
_symmetry_equiv_pos_as_xyz
'x,y,z'
'-x,-y,-z'
'-x,y,-z'
'x,-y,z'
'x+1/2,y+1/2,z'
'-x+1/2,-y+1/2,-z'
'-x+1/2,y+1/2,-z'
'x+1/2,-y+1/2,z'
loop_
_atom_site_label
_atom_site_type_symbol
_atom_site_fract_x
_atom_site_fract_y
_atom_site_fract_z
Tb1 Tb 0.000 0.000 0.000
Tb2 Tb 0.075 0.500 0.702
Tb3 Tb 0.174 0.500 0.385
Er1 Er 0.080 0.000 0.438
Er2 Er 0.214 0.000 0.878
Tm1 Tm 0.000 0.500 0.000
Tm2 Tm 0.209 0.000 0.230
```

---

#i is the most stable structure; the next one sits 225 meV per atom above it.